AsIr2Br | GGA-PBEsol | optimized geometry

```
AsIr2Br
1.0
-2.6545 5.1399 1.7438
-3.5438 -4.9877 -1.1607
-2.5808 -2.9030 4.6280
As Ir Br
2 4 2
direct
0.2500 0.5000 0.2500
0.5000 0.0000 0.5000
0.6037 0.7500 0.3750
0.1463 0.7500 0.8750
0.8750 0.2500 0.6037
0.3750 0.2500 0.1463
0.7500 0.5000 0.7500
0.0000 0.0000 0.0000
```

Summary:
* space group: I-42d, No. 122

AsIr2Br | GGA-PBEsol | optimized geometry

```
AsIr2Br
1.0
-0.6394 -0.8288 2.8876
2.2189 -0.0038 2.1238
-1.1823 7.3089 3.4695
As Ir Br
1 2 1
direct
0.5000 0.5000 0.5000
0.2390 0.2390 0.2831
0.7610 0.7610 0.7169
0.0000 0.0000 0.0000
```

Summary:
* space group: R-3m, No. 166

AsIr2Br | GGA-PBEsol | optimized geometry

```
AsIr2Br
1.0
-0.1882 0.4008 -2.8782
0.9748 -2.7084 -0.4409
-7.8599 -2.8482 0.1173
As Ir Br
1 2 1
direct
0.0000 0.0000 0.4314
0.0000 0.0000 0.0256
0.5000 0.5000 0.2431
0.5000 0.5000 0.7999
```

Summary:
* space group: P4mm, No. 99

AsIr2Br | GGA-PBEsol | optimized geometry

```
AsIr2Br
1.0
-0.5452 -0.2653 -4.4743
-3.0294 -2.8608 -1.7395
-3.7679 1.5902 -1.9134
As Ir Br
1 2 1
direct
0.5000 0.5000 0.5000
0.0000 0.0000 0.0000
0.7500 0.7500 0.7500
0.2500 0.2500 0.2500
```

Summary:
* space group: F-43m, No. 216

AsIr2Br | GGA-PBEsol | optimized geometry

```
AsIr2Br
1.0
-1.3989 0.1631 2.4840
1.0123 -4.1123 0.8401
4.7438 3.5965 0.7942
As Ir Br
1 2 1
direct
0.4602 0.4602 0.9204
0.0365 0.0365 0.0731
0.7562 0.2562 0.5123
0.2471 0.7471 0.4942
```

Summary:
* space group: Imm2, No. 44

LiAs2IrBr | GGA-PBEsol | optimized geometry

```
LiAs2IrBr
1.0
4.3380 0.0000 0.0000
0.0000 4.3380 0.0000
0.0000 0.0000 4.5862
As Ir Br Li
2 1 1 1
direct
0.0000 0.5000 0.0000
0.5000 0.0000 0.0000
0.5000 0.5000 0.5000
0.0000 0.0000 0.5000
0.0000 0.0000 0.0000
```

Summary:
* space group: P4/mmm, No. 123

NbAsIrBr2 | GGA-PBEsol | optimized geometry

```
NbAsIrBr2
1.0
4.6043 0.0000 0.0000
0.0000 5.0955 0.0000
0.0000 0.0000 5.0955
Nb Ir As Br
1 1 1 2
direct
0.5000 0.5000 0.5000
0.0000 0.0000 0.0000
0.5000 0.0000 0.0000
0.0000 0.0000 0.5000
0.0000 0.5000 0.0000
```

Summary:
* space group: P4/mmm, No. 123

As2IrBrO | GGA-PBEsol | optimized geometry

```
As2IrBrO
1.0
-0.7934 -3.9491 -0.2643
2.5084 -0.7102 3.0819
-3.8468 0.5548 3.2588
As Ir O Br
2 1 1 1
direct
0.0000 0.5000 0.0000
0.5000 0.0000 0.0000
0.5000 0.5000 0.5000
0.0000 0.0000 0.0000
0.0000 0.0000 0.5000
```

Summary:
* space group: P4/mmm, No. 123

As2IrRhBr | GGA-PBEsol | optimized geometry

```
As2IrRhBr
1.0
-3.3893 1.2330 2.8517
-0.1778 -4.2903 1.6437
3.3010 1.1721 3.4165
As Ir Rh Br
2 1 1 1
direct
0.0000 0.5000 0.0000
0.5000 0.0000 0.0000
0.5000 0.5000 0.5000
0.0000 0.0000 0.0000
0.0000 0.0000 0.5000
```

Summary:
* space group: P4/mmm, No. 123

SbAsIrBr2 | GGA-PBEsol | optimized geometry

```
SbAsIrBr2
1.0
4.7069 0.0000 0.0000
0.0000 5.0430 0.0000
0.0000 0.0000 5.0430
Sb As Ir Br
1 1 1 2
direct
0.5000 0.5000 0.5000
0.5000 0.0000 0.0000
0.0000 0.0000 0.0000
0.0000 0.0000 0.5000
0.0000 0.5000 0.0000
```

Summary:
* space group: P4/mmm, No. 123

ZrAs2IrBr | GGA-PBEsol | optimized geometry

```
ZrAs2IrBr
1.0
4.5852 0.0000 0.0000
0.0000 4.8630 0.0000
0.0000 0.0000 4.8630
As Ir Br Zr
2 1 1 1
direct
0.0000 0.0000 0.5000
0.0000 0.5000 0.0000
0.5000 0.0000 0.0000
0.0000 0.0000 0.0000
0.5000 0.5000 0.5000
```

Summary:
* space group: P4/mmm, No. 123

KAs2Br | GGA-PBEsol | optimized geometry

```
KAs2Br
1.0
-3.4791 -1.1616 1.6045
-1.4272 -0.6799 -3.6782
4.7260 -5.4723 1.3366
As Br K
2 1 1
direct
0.5000 0.0000 0.5000
0.0000 0.5000 0.5000
0.0000 0.0000 0.0000
0.5000 0.5000 0.0000
```

Summary:
* space group: Fmmm, No. 69

| no. | raw formation energy (meV/atom) |
| --- | --- |
| 1 | 691 |
| 2 | 472 |
| 3 | 453 |
| 4 | 985 |
| 5 | 650 |
| 6 | 938 |
| 7 | 971 |
| 8 | 721 |
| 9 | 1118 |
| 10 | 443 |
| 11 | 1163 |
| 12 | -203 |